Density functional theory data (PBE) for a relaxed structure of TaFe2Sn.

The calculated density is 11.6 Mg/m³. The value obtained for the final energy is -8.221 eV per atom. The formation energy from the elements is -2.5 kJ/mol of atoms.

The space group is P4/mmm (No. 123) and the conventional cell measures 3.133, 3.133 and 6.011 Å, with angles of 90.00, 90.00 and 90.00 degrees. The asymmetric unit holds Ta at (0.000, 0.000, 0.000), Fe at (0.500, 0.500, 0.237) and Sn at (0.000, 0.000, 0.500).